Run A
Below is crystalline PrNdBi2 at its relaxed geometry, with properties calculated at the PBE-GGA level. Values from VASP.

Geometry as Quantum ESPRESSO input:
```
&SYSTEM
  ibrav = 0, nat = 4, ntyp = 3
/
ATOMIC_SPECIES
Pr 140.91 Pr.upf
Nd 144.24 Nd.upf
Bi 208.98 Bi.upf
CELL_PARAMETERS angstrom
2.2927 1.3237 7.8741
-2.2927 1.3237 7.8741
0.0000 -2.6473 7.8741
ATOMIC_POSITIONS crystal
Pr 0.0000 0.0000 0.0000
Nd 0.8288 0.8288 0.8288
Bi 0.4138 0.4138 0.4138
Bi 0.5816 0.5816 0.5816
```

=====

Run B
Below is crystalline PrNdBi2 at its relaxed geometry, with properties calculated at the PBE-GGA level. Values from VASP.

Geometry as Quantum ESPRESSO input:
```
&SYSTEM
  ibrav = 0, nat = 8, ntyp = 3
/
ATOMIC_SPECIES
Pr 140.91 Pr.upf
Nd 144.24 Nd.upf
Bi 208.98 Bi.upf
CELL_PARAMETERS angstrom
4.6277 0.0000 0.0000
0.0000 6.5354 0.0000
0.0000 0.0000 9.2495
ATOMIC_POSITIONS crystal
Pr 0.2500 0.2500 0.1251
Pr 0.7500 0.7500 0.8749
Nd 0.2500 0.2500 0.6248
Nd 0.7500 0.7500 0.3752
Bi 0.2500 0.7500 0.1264
Bi 0.2500 0.7500 0.6236
Bi 0.7500 0.2500 0.3764
Bi 0.7500 0.2500 0.8736
```

=====

Least stable = run A

=====

Run A
Below is crystalline PrNdBi2 at its relaxed geometry, with properties calculated at the PBE-GGA level. Values from VASP.

Geometry as Quantum ESPRESSO input:
```
&SYSTEM
  ibrav = 0, nat = 4, ntyp = 3
/
ATOMIC_SPECIES
Pr 140.91 Pr.upf
Nd 144.24 Nd.upf
Bi 208.98 Bi.upf
CELL_PARAMETERS angstrom
3.8923 0.0000 0.0000
0.0000 3.8923 0.0000
0.0000 0.0000 8.4039
ATOMIC_POSITIONS crystal
Pr 0.0000 0.0000 0.0000
Nd 0.0000 0.0000 0.5000
Bi 0.5000 0.5000 0.2522
Bi 0.5000 0.5000 0.7478
```

=====

Run B
Below is crystalline PrNdBi2 at its relaxed geometry, with properties calculated at the PBE-GGA level. Values from VASP.

Geometry as Quantum ESPRESSO input:
```
&SYSTEM
  ibrav = 0, nat = 4, ntyp = 3
/
ATOMIC_SPECIES
Pr 140.91 Pr.upf
Nd 144.24 Nd.upf
Bi 208.98 Bi.upf
CELL_PARAMETERS angstrom
6.0245 0.0000 0.0000
0.0000 6.0245 0.0000
0.0000 0.0000 3.4730
ATOMIC_POSITIONS crystal
Pr 0.0000 0.0000 0.0000
Nd 0.5000 0.5000 0.0000
Bi 0.0000 0.5000 0.5000
Bi 0.5000 0.0000 0.5000
```

=====

Run C
Below is crystalline PrNdBi2 at its relaxed geometry, with properties calculated at the PBE-GGA level. Values from VASP.

Geometry as Quantum ESPRESSO input:
```
&SYSTEM
  ibrav = 0, nat = 4, ntyp = 3
/
ATOMIC_SPECIES
Pr 140.91 Pr.upf
Nd 144.24 Nd.upf
Bi 208.98 Bi.upf
CELL_PARAMETERS angstrom
4.0063 -2.3157 0.0000
4.0063 2.3157 0.0000
-2.6814 0.0000 7.5446
ATOMIC_POSITIONS crystal
Pr 0.0000 0.0000 0.0000
Nd 0.5000 0.5000 0.5000
Bi 0.2494 0.2494 0.7480
Bi 0.7506 0.7506 0.2520
```

=====

Least stable = run A